1.
The following is a PBE calculation of a geometry-optimized SiTc3Sb structure, from Alexandria via LeMat-Bulk.

Values from the calculation:
The energy above the most stable polymorph in this dataset is 1341 meV/atom. The value obtained for the total energy is -6.0922 eV per atom. The calculation puts the total moment at 3.240 μB per formula unit. The formation energy from raw total energies is 2.036 eV/atom. Its space group is Pm-3m.

Unit cell a=4.8370 b=4.8370 c=4.8370 alpha=90.00 beta=90.00 gamma=90.00
Fractional positions:
Si 0.0000 0.0000 0.0000
Tc 0.0000 0.5000 0.5000
Tc 0.5000 0.0000 0.5000
Tc 0.5000 0.5000 0.0000
Sb 0.5000 0.5000 0.5000

2.
The following is a PBE calculation of a geometry-optimized ZnInSe2 structure, from Alexandria via LeMat-Bulk.

Values from the calculation:
The value obtained for the total energy is -2.5927 eV per atom. The calculation puts the total moment at 0.000 μB per formula unit. The formation energy from raw total energies is 0.153 eV/atom. Its space group is P2/m.

Unit cell a=2.8777 b=5.7388 c=5.6756 alpha=90.00 beta=102.75 gamma=90.00
Fractional positions:
Zn 0.0000 0.0000 0.0000
In 0.0000 0.0000 0.5000
Se 0.4755 0.5000 0.7545
Se 0.5245 0.5000 0.2455

3.
The following is a PBE calculation of a geometry-optimized LaDy2Cd6 structure, from Alexandria via LeMat-Bulk.

Values from the calculation:
The value obtained for the total energy is -2.5073 eV per atom. Its energy relative to the elements is -0.33 eV/atom. The calculation puts the total moment at 0.075 μB per formula unit. Its space group is P6/mmm.

Unit cell a=8.7267 b=8.7267 c=3.4523 alpha=90.00 beta=90.00 gamma=120.00
Fractional positions:
La 0.0000 0.0000 0.0000
Dy 0.3333 0.6667 0.0000
Dy 0.6667 0.3333 0.0000
Cd 0.0000 0.3376 0.5000
Cd 0.0000 0.6624 0.5000
Cd 0.3376 0.0000 0.5000
Cd 0.3376 0.3376 0.5000
Cd 0.6624 0.0000 0.5000
Cd 0.6624 0.6624 0.5000

4.
The following is a PBE calculation of a geometry-optimized CeNdYAl structure, from Alexandria via LeMat-Bulk.

Values from the calculation:
The value obtained for the total energy is -5.2237 eV per atom. Its energy relative to the elements is 0.00 eV/atom. The calculation puts the total moment at 0.859 μB per formula unit. Its space group is F-43m.

Unit cell a=5.4222 b=5.4222 c=5.4222 alpha=60.00 beta=60.00 gamma=60.00
Fractional positions:
Ce 0.0000 0.0000 0.0000
Nd 0.5000 0.5000 0.5000
Y 0.2500 0.2500 0.2500
Al 0.7500 0.7500 0.7500

5.
The following is a PBE calculation of a geometry-optimized Sm5Dy3Er structure, from Alexandria via LeMat-Bulk.

Values from the calculation:
The energy above the most stable polymorph in this dataset is 325 meV/atom. The value obtained for the total energy is -4.1637 eV per atom. Its energy relative to the elements is 0.50 eV/atom. The calculation puts the total moment at 0.000 μB per formula unit. Its space group is C2/m.

Unit cell a=9.5630 b=9.5630 c=9.8505 alpha=120.47 beta=120.47 gamma=74.82
Fractional positions:
Sm 0.0994 0.6043 0.2589
Sm 0.2274 0.2274 0.2359
Sm 0.2458 0.7542 0.0000
Sm 0.2755 0.2755 0.9546
Sm 0.3957 0.9006 0.7411
Sm 0.6043 0.0994 0.2589
Sm 0.7245 0.7245 0.0454
Sm 0.7542 0.2458 0.0000
Sm 0.7726 0.7726 0.7641
Sm 0.9006 0.3957 0.7411
Dy 0.0000 0.0000 0.5000
Dy 0.0081 0.0081 0.8226
Dy 0.4844 0.4844 0.6464
Dy 0.5000 0.5000 0.0000
Dy 0.5156 0.5156 0.3536
Dy 0.9919 0.9919 0.1774
Er 0.2485 0.2485 0.5946
Er 0.7515 0.7515 0.4054

6.
The following is a PBE calculation of a geometry-optimized Mg5CdIn6 structure, from Alexandria via LeMat-Bulk.

Values from the calculation:
The value obtained for the total energy is -2.1819 eV per atom. Its energy relative to the elements is -0.07 eV/atom. The calculation puts the total moment at 0.000 μB per formula unit. Its space group is C2/m.

Unit cell a=8.4619 b=8.4619 c=4.6780 alpha=105.00 beta=105.00 gamma=108.93
Fractional positions:
Mg 0.0000 0.0000 0.0000
Mg 0.1707 0.8293 0.5000
Mg 0.3403 0.6597 0.0000
Mg 0.6597 0.3403 0.0000
Mg 0.8293 0.1707 0.5000
Cd 0.5000 0.5000 0.5000
In 0.0774 0.4136 0.2442
In 0.2414 0.2414 0.7397
In 0.4136 0.0774 0.2442
In 0.5864 0.9226 0.7558
In 0.7586 0.7586 0.2603
In 0.9226 0.5864 0.7558